(1)
First-principles (GGA-PBE) data for crystalline Li2VGeCl6 at its relaxed geometry, as listed in the Alexandria database.

Computed properties:
As for the symmetry: R3, No. 146.

```
Li2VGeCl6
1.0
6.445 0.000 0.000
3.222 5.582 0.000
3.222 1.861 5.920
Li V Ge Cl
2 1 1 6
Cartesian
6.445 3.722 2.656 Li
3.223 1.860 5.750 Li
3.222 1.861 0.140 V
9.669 5.583 3.199 Ge
5.342 1.786 1.459 Cl
5.320 5.643 1.459 Cl
8.672 3.734 1.459 Cl
7.354 5.448 4.522 Cl
7.486 2.070 4.523 Cl
4.495 3.645 4.522 Cl
```

---

(2)
First-principles (GGA-PBE) data for crystalline Li2ZnGeCl6 at its relaxed geometry, as listed in the Alexandria database.

Computed properties:
As for the symmetry: R3, No. 146. The calculation puts the density of states at the Fermi level at 0.00 states/eV/cell.

```
Li2ZnGeCl6
1.0
6.452 0.000 0.002
3.226 5.586 0.000
3.227 1.862 5.954
Li Zn Ge Cl
2 1 1 6
Cartesian
6.452 3.724 2.699 Li
3.227 1.862 5.758 Li
3.227 1.862 0.303 Zn
9.678 5.585 3.287 Ge
5.357 1.795 1.422 Cl
5.329 5.637 1.422 Cl
8.671 3.739 1.422 Cl
7.405 5.439 4.519 Cl
7.461 2.041 4.519 Cl
4.489 3.691 4.517 Cl
```

---

(3)
First-principles (GGA-PBE) data for crystalline Mg3GeCl at its relaxed geometry, as listed in the Alexandria database.

Computed properties:
As for the symmetry: Pm-3m, No. 221. The calculation puts the density of states at the Fermi level at 3.23 states/eV/cell.

```
Mg3GeCl
1.0
5.158 0.000 0.000
0.000 5.158 0.000
0.000 0.000 5.158
Ge Mg Cl
1 3 1
Cartesian
0.000 0.000 0.000 Ge
0.000 2.579 0.000 Mg
0.000 0.000 2.579 Mg
2.579 0.000 0.000 Mg
2.579 2.579 2.579 Cl
```

---

(4)
First-principles (GGA-PBE) data for crystalline Mg2GeCl at its relaxed geometry, as listed in the Alexandria database.

Computed properties:
As for the symmetry: I-42d, No. 122. The calculation puts the density of states at the Fermi level at 7.23 states/eV/cell.

```
Mg2GeCl
1.0
-3.943 4.793 0.690
-3.734 -3.576 3.502
-1.010 2.259 6.797
Ge Mg Cl
2 4 2
Cartesian
0.000 0.000 0.000 Ge
-4.395 3.830 4.791 Ge
-3.204 3.138 2.572 Mg
-3.058 -1.096 3.971 Mg
-3.617 2.169 6.652 Mg
-7.494 2.741 8.784 Mg
-3.838 0.609 2.096 Cl
-4.291 -0.354 6.198 Cl
```

---

The following spin magnetization values (in μB/cell) correspond, in order, to the records above: 3.000, 0.000, 0.000, 1.352.
The following E_tot values (in eV/cell) correspond, in order, to the records above: -41.3, -33.3, -12.3, -22.5.
The following formation energy without anion corrections values (in kJ/mol of formula units) correspond, in order, to the records above: -1223, -1202, -103, -156.